Entry 1:
The following is a GGA-PBEsol calculation of a relaxed SrMoBr2Cl crystal, from the Alexandria database.

POSCAR file:
```
SrMoBr2Cl
1.0
6.0988 0.0000 0.0000
0.0000 6.0988 0.0000
0.0000 0.0000 4.3699
Sr Mo Br Cl
1 1 2 1
Cartesian
0.0000 0.0000 0.0000 Sr
3.0494 3.0494 0.0000 Mo
0.0000 3.0494 2.1849 Br
3.0494 0.0000 2.1849 Br
3.0494 3.0494 2.1849 Cl
```

Computed properties:
The symmetry is P4/mmm. The calculation puts the total energy at -3.872 eV per atom. The calculation puts the magnetic moment at 3.6 μB per cell. The energy relative to the elements, uncorrected comes out at -0.0006 eV/atom.

Entry 2:
The following is a GGA-PBEsol calculation of a relaxed NaBrNCl2 crystal, from the Alexandria database.

POSCAR file:
```
NaBrNCl2
1.0
4.1044 0.0000 0.0000
0.0000 4.1044 0.0000
0.0000 0.0000 6.1098
Na Br N Cl
1 1 1 2
Cartesian
0.0000 0.0000 0.0000 Na
2.0522 2.0522 0.0000 Br
0.0000 0.0000 3.0549 N
0.0000 2.0522 3.0549 Cl
2.0522 0.0000 3.0549 Cl
```

Computed properties:
The symmetry is P4/mmm. The calculation puts the total energy at -2.920 eV per atom. The calculation puts the magnetic moment at 0.2 μB per cell. The energy relative to the elements, uncorrected comes out at 0.2420 eV/atom.

Entry 3:
The following is a GGA-PBEsol calculation of a relaxed Sc2BrNCl crystal, from the Alexandria database.

POSCAR file:
```
Sc2BrNCl
1.0
4.3972 0.0000 0.0000
0.0000 4.3972 0.0000
0.0000 0.0000 4.7883
Sc Br N Cl
2 1 1 1
Cartesian
0.0000 2.1986 0.0000 Sc
2.1986 0.0000 0.0000 Sc
0.0000 0.0000 2.3942 Br
2.1986 2.1986 0.0000 N
2.1986 2.1986 2.3942 Cl
```

Computed properties:
The symmetry is P4/mmm. The calculation puts the total energy at -5.845 eV per atom. The calculation puts the magnetic moment at 0.0 μB per cell. The energy relative to the elements, uncorrected comes out at -0.7219 eV/atom.

Entry 4:
The following is a GGA-PBEsol calculation of a relaxed Sr4BrN2Cl crystal, from the Alexandria database.

POSCAR file:
```
Sr4BrN2Cl
1.0
1.9370 1.1184 14.2490
-1.9370 1.1184 14.2490
0.0000 -2.2367 14.2490
Sr Br N Cl
4 1 2 1
Cartesian
0.0000 0.0000 4.8100 Sr
0.0000 0.0000 16.3946 Sr
0.0000 0.0000 26.3523 Sr
0.0000 0.0000 37.9368 Sr
0.0000 0.0000 21.3734 Br
0.0000 0.0000 10.7720 N
0.0000 0.0000 31.9749 N
0.0000 0.0000 0.0000 Cl
```

Computed properties:
The symmetry is R-3m. The calculation puts the total energy at -4.973 eV per atom. The calculation puts the magnetic moment at 0.1 μB per cell. The distance to the lowest polymorph of the same formula comes out at 0 meV per atom. The energy relative to the elements, uncorrected comes out at -1.4367 eV/atom.

Entry 5:
The following is a GGA-PBEsol calculation of a relaxed SrBrN2Cl crystal, from the Alexandria database.

POSCAR file:
```
SrBrN2Cl
1.0
4.1369 0.0000 0.0000
0.0000 4.1369 0.0000
0.0000 0.0000 5.9807
Sr Br N Cl
1 1 2 1
Cartesian
0.0000 0.0000 0.0000 Sr
2.0685 2.0685 0.0000 Br
0.0000 2.0685 2.9904 N
2.0685 0.0000 2.9904 N
2.0685 2.0685 2.9904 Cl
```

Computed properties:
The symmetry is P4/mmm. The calculation puts the total energy at -3.601 eV per atom. The calculation puts the magnetic moment at 2.4 μB per cell. The energy relative to the elements, uncorrected comes out at 0.9534 eV/atom.

Entry 6:
The following is a GGA-PBEsol calculation of a relaxed Sr4BrN2Cl crystal, from the Alexandria database.

POSCAR file:
```
Sr4BrN2Cl
1.0
6.7113 0.0000 0.0000
0.0000 3.8743 0.0000
-2.2392 0.0000 7.1332
Sr Br N Cl
4 1 2 1
Cartesian
1.1054 0.0000 1.3245 Sr
-0.0161 1.9372 5.7927 Sr
4.4881 1.9372 1.3405 Sr
3.3666 0.0000 5.8088 Sr
2.2360 1.9372 3.5666 Br
0.0000 1.9372 0.0000 N
3.3556 0.0000 0.0000 N
-1.1196 0.0000 3.5666 Cl
```

Computed properties:
The symmetry is P2/m. The calculation puts the total energy at -4.969 eV per atom. The calculation puts the magnetic moment at 0.1 μB per cell. The distance to the lowest polymorph of the same formula comes out at 4 meV per atom. The energy relative to the elements, uncorrected comes out at -1.4327 eV/atom.

Entry 7:
The following is a GGA-PBEsol calculation of a relaxed NaBrCl2 crystal, from the Alexandria database.

POSCAR file:
```
NaBrCl2
1.0
2.1707 1.2533 7.3435
-2.1707 1.2533 7.3435
0.0000 -2.5065 7.3435
Na Br Cl
1 1 2
Cartesian
0.0000 0.0000 0.0000 Na
0.0000 0.0000 11.0152 Br
0.0000 0.0000 8.6249 Cl
0.0000 0.0000 13.4055 Cl
```

Computed properties:
The symmetry is R-3m. The calculation puts the total energy at -2.731 eV per atom. The calculation puts the magnetic moment at 0.0 μB per cell. The energy relative to the elements, uncorrected comes out at -0.9095 eV/atom.

Entry 8:
The following is a GGA-PBEsol calculation of a relaxed Na3BrCl crystal, from the Alexandria database.

POSCAR file:
```
Na3BrCl
1.0
5.3618 0.0000 0.0000
0.0000 5.3618 0.0000
0.0000 0.0000 5.3618
Na Br Cl
3 1 1
Cartesian
0.0000 0.0000 2.6809 Na
0.0000 2.6809 0.0000 Na
2.6809 0.0000 0.0000 Na
2.6809 2.6809 2.6809 Br
0.0000 0.0000 0.0000 Cl
```

Computed properties:
The symmetry is Pm-3m. The calculation puts the total energy at -2.659 eV per atom. The calculation puts the magnetic moment at 0.0 μB per cell. The distance to the lowest polymorph of the same formula comes out at 0 meV per atom. The energy relative to the elements, uncorrected comes out at -1.0437 eV/atom.

Entry 9:
The following is a GGA-PBEsol calculation of a relaxed NbP2BrCl crystal, from the Alexandria database.

POSCAR file:
```
NbP2BrCl
1.0
4.8539 0.0000 0.0000
0.0000 4.8539 0.0000
0.0000 0.0000 4.7366
Nb P Br Cl
1 2 1 1
Cartesian
0.0000 0.0000 0.0000 Nb
0.0000 2.4270 0.0000 P
2.4270 0.0000 0.0000 P
2.4270 2.4270 2.3683 Br
0.0000 0.0000 2.3683 Cl
```

Computed properties:
The symmetry is P4/mmm. The calculation puts the total energy at -5.173 eV per atom. The calculation puts the magnetic moment at 0.0 μB per cell. The energy relative to the elements, uncorrected comes out at 0.0836 eV/atom.

Entry 10:
The following is a GGA-PBEsol calculation of a relaxed NbPBrCl2 crystal, from the Alexandria database.

POSCAR file:
```
NbPBrCl2
1.0
4.7791 0.0000 0.0000
0.0000 4.7791 0.0000
0.0000 0.0000 5.2104
Nb P Br Cl
1 1 1 2
Cartesian
0.0000 0.0000 0.0000 Nb
2.3896 2.3896 0.0000 P
2.3896 2.3896 2.6052 Br
0.0000 2.3896 2.6052 Cl
2.3896 0.0000 2.6052 Cl
```

Computed properties:
The symmetry is P4/mmm. The calculation puts the total energy at -3.263 eV per atom. The calculation puts the magnetic moment at 2.8 μB per cell. The energy relative to the elements, uncorrected comes out at 1.2364 eV/atom.

Entry 11:
The following is a GGA-PBEsol calculation of a relaxed Ni2BrCl crystal, from the Alexandria database.

POSCAR file:
```
Ni2BrCl
1.0
3.5839 0.0000 0.0000
0.0000 3.4201 0.0000
-0.0664 0.0000 6.1837
Ni Br Cl
2 1 1
Cartesian
0.0000 0.0000 0.0000 Ni
1.7145 1.7100 5.5516 Ni
2.4186 0.0000 4.1125 Br
0.6577 1.7100 1.2599 Cl
```

Computed properties:
The symmetry is Pm. The calculation puts the total energy at -4.163 eV per atom. The calculation puts the magnetic moment at 2.0 μB per cell. The distance to the lowest polymorph of the same formula comes out at 0 meV per atom. The energy relative to the elements, uncorrected comes out at -0.1146 eV/atom.

Entry 12:
The following is a GGA-PBEsol calculation of a relaxed Ni2BrCl crystal, from the Alexandria database.

POSCAR file:
```
Ni2BrCl
1.0
4.3660 0.0000 0.0000
0.0000 4.3660 0.0000
0.0000 0.0000 3.1023
Ni Br Cl
2 1 1
Cartesian
0.0000 2.1830 0.0000 Ni
2.1830 0.0000 0.0000 Ni
0.0000 0.0000 1.5512 Br
2.1830 2.1830 1.5512 Cl
```

Computed properties:
The symmetry is P4/mmm. The calculation puts the total energy at -3.602 eV per atom. The calculation puts the magnetic moment at 2.0 μB per cell. The distance to the lowest polymorph of the same formula comes out at 560 meV per atom. The energy relative to the elements, uncorrected comes out at 0.4457 eV/atom.

Entry 13:
The following is a GGA-PBEsol calculation of a relaxed NiPBrCl2 crystal, from the Alexandria database.

POSCAR file:
```
NiPBrCl2
1.0
4.3878 0.0000 0.0000
0.0000 4.3878 0.0000
0.0000 0.0000 4.7775
Ni P Br Cl
1 1 1 2
Cartesian
0.0000 0.0000 0.0000 Ni
0.0000 0.0000 2.3887 P
2.1939 2.1939 2.3887 Br
0.0000 2.1939 0.0000 Cl
2.1939 0.0000 0.0000 Cl
```

Computed properties:
The symmetry is P4/mmm. The calculation puts the total energy at -3.432 eV per atom. The calculation puts the magnetic moment at 0.0 μB per cell. The energy relative to the elements, uncorrected comes out at 0.1348 eV/atom.

Entry 14:
The following is a GGA-PBEsol calculation of a relaxed Sr20P12Br3ClO48 crystal, from the Alexandria database.

POSCAR file:
```
Sr20P12Br3ClO48
1.0
9.9214 0.0000 0.0000
4.9606 11.1926 0.0000
4.9603 1.9990 11.0130
Sr P Br Cl O
20 12 3 1 48
Cartesian
3.7394 6.0273 2.7245 Sr
8.6851 12.6028 8.1917 Sr
7.4921 7.7688 4.1823 Sr
7.5359 3.1934 9.6761 Sr
6.2768 3.8000 5.4780 Sr
11.2555 10.3534 10.9750 Sr
9.9128 8.8042 7.3323 Sr
9.9162 6.4868 10.0938 Sr
9.9269 11.0924 4.6024 Sr
4.9683 2.2061 1.8234 Sr
14.8740 10.9855 9.1896 Sr
9.9154 2.0992 6.4107 Sr
9.9261 6.7048 0.9192 Sr
9.9295 4.3875 3.6807 Sr
8.5868 2.8383 0.0381 Sr
13.5655 9.3916 5.5350 Sr
12.3064 9.9982 1.3369 Sr
12.3502 5.4228 6.8307 Sr
11.1572 0.5888 2.8213 Sr
16.1029 7.1644 8.2886 Sr
8.2545 9.3448 10.1465 P
3.3010 2.7548 4.6404 P
8.8238 10.2810 1.5870 P
8.8330 5.6829 7.0812 P
7.1635 5.2991 2.0805 P
12.1276 11.8906 7.5852 P
7.7147 1.3010 3.4278 P
12.6788 7.8926 8.9325 P
11.0093 7.5088 3.9318 P
11.0185 2.9107 9.4260 P
16.5413 10.4369 6.3726 P
11.5878 3.8469 0.8666 P
0.0000 0.0000 0.0000 Br
4.9652 4.3010 8.2565 Br
14.8771 8.8906 2.7565 Br
4.9604 6.5958 5.5065 Cl
4.0968 3.9096 3.9802 O
4.0897 2.2687 5.8816 O
4.0896 6.8632 0.3729 O
9.0584 10.4799 9.4597 O
8.2098 8.1547 9.1399 O
3.2780 1.5720 3.6261 O
8.0618 9.9944 6.0048 O
3.0986 3.3816 0.4881 O
3.0883 0.2551 0.9227 O
8.0338 6.8404 6.4274 O
8.0522 9.8335 2.8534 O
8.0791 5.2397 8.3604 O
10.8900 11.1650 6.9913 O
5.9465 4.5589 1.4630 O
7.1564 5.2080 3.6277 O
7.1970 2.1970 7.1933 O
7.1928 6.7959 1.6836 O
12.1594 11.7864 9.1328 O
6.3895 1.9366 3.9478 O
11.3389 8.5181 9.4252 O
10.1883 10.8638 2.0665 O
10.2017 6.2699 7.5399 O
9.0336 4.5036 6.0917 O
9.0423 9.1047 0.5973 O
10.8000 4.0870 10.4157 O
10.8087 8.6880 4.9213 O
9.6406 6.9217 3.4731 O
9.6540 2.3278 8.9466 O
8.5034 4.6735 1.5878 O
13.4529 11.2551 7.0652 O
7.6829 1.4052 1.8803 O
12.6496 6.3957 9.3295 O
12.6453 10.9946 3.8198 O
12.6859 7.9836 7.3853 O
13.8958 8.6327 9.5500 O
8.9523 2.0266 4.0218 O
11.7633 7.9519 2.6526 O
11.7901 3.3581 8.1596 O
11.8085 6.3512 4.5857 O
16.7540 12.9365 10.0904 O
16.7438 9.8101 10.5249 O
11.7805 3.1973 5.0082 O
16.5644 11.6197 7.3870 O
11.6325 5.0370 1.8731 O
10.7839 2.7117 1.5534 O
15.7527 6.3285 10.6401 O
15.7526 10.9229 5.1314 O
15.7455 9.2821 7.0328 O
```

Computed properties:
The symmetry is P-1. The calculation puts the total energy at -7.268 eV per atom. The calculation puts the magnetic moment at 0.0 μB per cell. The energy relative to the elements, uncorrected comes out at -2.9125 eV/atom.

Entry 15:
The following is a GGA-PBEsol calculation of a relaxed TlBr2ClO crystal, from the Alexandria database.

POSCAR file:
```
TlBr2ClO
1.0
5.4915 0.0000 0.0000
0.0000 5.4915 0.0000
0.0000 0.0000 5.1522
Tl Br Cl O
1 2 1 1
Cartesian
0.0000 0.0000 0.0000 Tl
0.0000 2.7457 0.0000 Br
2.7457 0.0000 0.0000 Br
0.0000 0.0000 2.5761 Cl
2.7457 2.7457 2.5761 O
```

Computed properties:
The symmetry is P4/mmm. The calculation puts the total energy at -2.324 eV per atom. The calculation puts the magnetic moment at 2.2 μB per cell. The energy relative to the elements, uncorrected comes out at 0.4012 eV/atom.

Entry 16:
The following is a GGA-PBEsol calculation of a relaxed OsBrCl3 crystal, from the Alexandria database.

POSCAR file:
```
OsBrCl3
1.0
5.1476 0.0000 0.0000
0.0000 5.1476 0.0000
0.0000 0.0000 5.1476
Os Br Cl
1 1 3
Cartesian
0.0000 0.0000 0.0000 Os
2.5738 2.5738 2.5738 Br
0.0000 2.5738 2.5738 Cl
2.5738 0.0000 2.5738 Cl
2.5738 2.5738 0.0000 Cl
```

Computed properties:
The symmetry is Pm-3m. The calculation puts the total energy at -2.382 eV per atom. The calculation puts the magnetic moment at 4.9 μB per cell. The energy relative to the elements, uncorrected comes out at 1.6403 eV/atom.

Entry 17:
The following is a GGA-PBEsol calculation of a relaxed OsBr3Cl crystal, from the Alexandria database.

POSCAR file:
```
OsBr3Cl
1.0
4.9272 0.0000 0.0000
0.0000 4.9272 0.0000
0.0000 0.0000 4.9272
Os Br Cl
1 3 1
Cartesian
0.0000 0.0000 0.0000 Os
0.0000 0.0000 2.4636 Br
0.0000 2.4636 0.0000 Br
2.4636 0.0000 0.0000 Br
2.4636 2.4636 2.4636 Cl
```

Computed properties:
The symmetry is Pm-3m. The calculation puts the total energy at -3.519 eV per atom. The calculation puts the magnetic moment at 0.4 μB per cell. The energy relative to the elements, uncorrected comes out at 0.4473 eV/atom.

Entry 18:
The following is a GGA-PBEsol calculation of a relaxed OsSBrCl2 crystal, from the Alexandria database.

POSCAR file:
```
OsSBrCl2
1.0
4.7630 0.0000 0.0000
0.0000 4.7630 0.0000
0.0000 0.0000 4.4551
Os S Br Cl
1 1 1 2
Cartesian
0.0000 0.0000 0.0000 Os
0.0000 0.0000 2.2275 S
2.3815 2.3815 2.2275 Br
0.0000 2.3815 0.0000 Cl
2.3815 0.0000 0.0000 Cl
```

Computed properties:
The symmetry is P4/mmm. The calculation puts the total energy at -4.243 eV per atom. The calculation puts the magnetic moment at 0.0 μB per cell. The energy relative to the elements, uncorrected comes out at 0.2539 eV/atom.

Entry 19:
The following is a GGA-PBEsol calculation of a relaxed TaOs2BrCl crystal, from the Alexandria database.

POSCAR file:
```
TaOs2BrCl
1.0
4.8680 0.0000 0.0000
0.0000 4.8680 0.0000
0.0000 0.0000 5.0152
Ta Os Br Cl
1 2 1 1
Cartesian
0.0000 0.0000 0.0000 Ta
0.0000 2.4340 0.0000 Os
2.4340 0.0000 0.0000 Os
0.0000 0.0000 2.5076 Br
2.4340 2.4340 2.5076 Cl
```

Computed properties:
The symmetry is P4/mmm. The calculation puts the total energy at -6.310 eV per atom. The calculation puts the magnetic moment at 4.0 μB per cell. The energy relative to the elements, uncorrected comes out at 1.8621 eV/atom.

Entry 20:
The following is a GGA-PBEsol calculation of a relaxed PBr2Cl crystal, from the Alexandria database.

POSCAR file:
```
PBr2Cl
1.0
1.8627 1.0754 7.4411
-1.8627 1.0754 7.4411
0.0000 -2.1509 7.4411
P Br Cl
1 2 1
Cartesian
0.0000 0.0000 0.0000 P
0.0000 0.0000 5.9075 Br
0.0000 0.0000 16.4158 Br
0.0000 0.0000 11.1616 Cl
```

Computed properties:
The symmetry is R-3m. The calculation puts the total energy at -2.778 eV per atom. The calculation puts the magnetic moment at 0.0 μB per cell. The distance to the lowest polymorph of the same formula comes out at 410 meV per atom. The energy relative to the elements, uncorrected comes out at 0.1067 eV/atom.